The following is a GGA-PBE calculation of a relaxed Sm12IrRh6 crystal, from Alexandria via LeMat-Bulk.

a = 8.295 Å, b = 8.295 Å, c = 8.295 Å
α = 99.75°, β = 99.75°, γ = 99.75°
Positions (direct):
Sm1 0.823 0.584 0.422
Sm2 0.422 0.823 0.584
Sm3 0.584 0.422 0.823
Sm4 0.177 0.416 0.578
Sm5 0.578 0.177 0.416
Sm6 0.416 0.578 0.177
Sm7 0.083 0.951 0.324
Sm8 0.049 0.676 0.917
Sm9 0.676 0.917 0.049
Sm10 0.917 0.049 0.676
Sm11 0.951 0.324 0.083
Sm12 0.324 0.083 0.951
Ir1 0.000 0.000 0.000
Rh1 0.689 0.865 0.382
Rh2 0.618 0.311 0.135
Rh3 0.135 0.618 0.311
Rh4 0.311 0.135 0.618
Rh5 0.382 0.689 0.865
Rh6 0.865 0.382 0.689

The calculation puts the volume at 542.7 Å³/cell. For the formation energy, the calculation gives -10.6 eV/f.u. The space-group type is R-3, No. 148. For the total energy, the calculation gives -120.2 eV per formula unit.